1.
K3Fe2CuCl9 | GGA-PBE | relaxed

Unit cell a=6.9631 b=6.9631 c=8.5538 alpha=90.00 beta=90.00 gamma=120.00
Space group P-3m1 (No. 164)
Symmetry-distinct sites (fractional):
K 0.0000 0.0000 0.0000
K 0.3333 0.6667 0.6617
Fe 0.3333 0.6667 0.1725
Cu 0.0000 0.0000 0.5000
Cl 0.0000 0.5000 0.0000
Cl 0.1683 0.3367 0.3296

Values from the calculation:
- E_form (uncorrected) (kJ/mol of formula units) = -1692

2.
AlH3W | GGA-PBE | relaxed

Unit cell a=3.370 b=3.370 c=3.370 alpha=90.00 beta=90.00 gamma=90.00
Space group Pm-3m (No. 221)
Symmetry-distinct sites (fractional):
Al 0.000 0.000 0.000
H 0.000 0.000 0.500
W 0.500 0.500 0.500

Values from the calculation:
- polymorph energy (0 for the lowest one) (meV per atom) = 466

3.
Dy15Ho2Mg2 | GGA-PBE | relaxed

Unit cell a=11.1160 b=11.1160 c=17.0544 alpha=90.00 beta=90.00 gamma=120.00
Space group R-3m (No. 166, hexagonal axes)
Symmetry-distinct sites (fractional):
Dy 0.0000 0.2978 0.0000
Dy 0.0000 0.5000 0.5000
Dy 0.0081 0.5041 0.1414
Ho 0.0000 0.0000 0.3243
Mg 0.0000 0.0000 0.0930

Values from the calculation:
- ΔH_f (0 K) (eV per formula unit) = 4.49

The calculation returns the following magnetization values, one per record and in order: 8.6 0.0 0.0 μB/f.u..
The calculation returns the following raw total energy values, one per record and in order: -58.47 -22.45 -230.66 eV/cell.